Below is SiRuAu after structural relaxation, with properties calculated at the GGA-PBE level.

For the total energy, the calculation gives -6.172 eV/atom. As for the polymorph energy (0 for the lowest one): 0 meV/atom. As for the spin magnetization: 0.00 μB per cell.

The space group is F-43m (No. 216) and the conventional cell measures 5.760, 5.760 and 5.760 Å, with angles of 90.00, 90.00 and 90.00 degrees. The asymmetric unit holds Si at (0.000, 0.000, 0.000), Ru at (0.250, 0.250, 0.750) and Au at (0.250, 0.250, 0.250).